Density functional theory data (PBE) for V5Co2RuPt2 after structural relaxation.

## Properties
As for the crystal system: tetragonal. The energy relative to the elements is -112 meV/atom. The final energy comes out at -0.6048 Ry/atom.

Cell lengths 8.499, 8.499, 3.731 Å; angles 90.00, 90.00, 90.00 degrees
Positions (direct):
V 0.000 0.500 0.000
V 0.069 0.203 0.000
V 0.203 0.931 0.000
V 0.297 0.431 0.000
V 0.431 0.703 0.000
V 0.500 0.000 0.000
V 0.569 0.297 0.000
V 0.703 0.569 0.000
V 0.797 0.069 0.000
V 0.931 0.797 0.000
Co 0.120 0.380 0.500
Co 0.380 0.880 0.500
Co 0.620 0.120 0.500
Co 0.880 0.620 0.500
Ru 0.000 0.000 0.500
Ru 0.500 0.500 0.500
Pt 0.175 0.675 0.500
Pt 0.325 0.175 0.500
Pt 0.675 0.825 0.500
Pt 0.825 0.325 0.500